{
  "formula": "Sr2RuW",
  "functional": "PBE-GGA",
  "state": "relaxed",
  "cell": [[-4.672, -4.254, 0.308], [0.495, -5.014, -3.824], [2.688, 3.239, 4.721]],
  "species": ["Ru", "W", "Sr", "Sr"],
  "fractional_positions": [[0.301, 0.801, 0.500], [0.436, 0.436, 0.000], [0.737, 0.237, 0.500], [0.025, 0.025, 0.000]],
  "m_tot_mub_per_atom": 0.000,
  "crystal_system": "orthorhombic",
  "de_polymorph_mev_per_atom": 255.4
}